# ZrBeCr, optimized geometry, DFT PBE
# **Size of the total moment**: 0.00 Bohr magnetons per cell
# **Calculated total energy**: -7.35 eV/atom
# **Calculated density**: 5.97 Mg/m³
data_ZrBeCr
_symmetry_space_group_name_H-M 'P 1'
_symmetry_Int_Tables_number 1
_symmetry_space_group_name_Hall 'P 1'
_cell_length_a 4.8640
_cell_length_b 4.8640
_cell_length_c 12.7149
_cell_angle_alpha 78.97
_cell_angle_beta 78.97
_cell_angle_gamma 60.00
loop_
_atom_site_label
_atom_site_fract_x
_atom_site_fract_y
_atom_site_fract_z
Be1 0.0000 0.5000 0.0000
Be2 0.6138 0.6138 0.1586
Be3 0.3862 0.3862 0.8414
Be4 0.5000 0.0000 0.0000
Be5 0.5000 0.5000 0.5000
Be6 0.5000 0.5000 0.0000
Cr1 0.2762 0.7759 0.6717
Cr2 0.7238 0.2241 0.3283
Cr3 0.2241 0.7238 0.3283
Cr4 0.2762 0.2762 0.6717
Cr5 0.7238 0.7238 0.3283
Cr6 0.7759 0.2762 0.6717
Zr1 0.7348 0.7348 0.7955
Zr2 0.2652 0.2652 0.2045
Zr3 0.0393 0.0393 0.8822
Zr4 0.8191 0.8191 0.5427
Zr5 0.1809 0.1809 0.4573
Zr6 0.9607 0.9607 0.1178